(1)
Material: MgHg2Ge2
Method: DFT, GGA-PBE
State: optimized geometry

Cell and atoms, written as POSCAR:
```
MgHg2Ge2
1.0
3.690 0.000 0.000
0.000 3.690 0.000
0.000 0.000 16.819
Mg Hg Ge
2 4 4
Cartesian
0.000 0.000 0.000 Mg
1.845 1.845 8.410 Mg
0.000 0.000 6.779 Hg
0.000 0.000 10.040 Hg
1.845 1.845 1.631 Hg
1.845 1.845 15.189 Hg
0.000 1.845 4.205 Ge
0.000 1.845 12.614 Ge
1.845 0.000 4.205 Ge
1.845 0.000 12.614 Ge
```

- Relative energy among the computed polymorphs: 0.0 meV/atom
- VASP energy: -2.17 eV/atom
- Energy relative to the elements: 0.117 eV per atom
- SG: No. 139

(2)
Material: MgHg2Ge
Method: DFT, GGA-PBE
State: optimized geometry

Cell and atoms, written as POSCAR:
```
MgHg2Ge
1.0
4.486 0.000 0.000
0.000 4.486 0.000
0.000 0.000 4.320
Mg Hg Ge
1 2 1
Cartesian
0.000 0.000 0.000 Mg
0.000 2.243 2.160 Hg
2.243 0.000 2.160 Hg
2.243 2.243 0.000 Ge
```

- VASP energy: -1.68 eV/atom
- Energy relative to the elements: 0.029 eV per atom
- SG: No. 123

(3)
Material: Mg5Hg6Ge
Method: DFT, GGA-PBE
State: optimized geometry

Cell and atoms, written as POSCAR:
```
Mg5Hg6Ge
1.0
4.944 0.000 0.000
0.000 7.123 0.000
-2.080 0.000 7.368
Mg Hg Ge
5 6 1
Cartesian
0.000 0.000 0.000 Mg
0.220 0.000 4.913 Mg
0.214 3.562 4.988 Mg
2.649 3.562 2.379 Mg
2.643 0.000 2.455 Mg
0.173 1.770 2.502 Hg
0.173 5.354 2.502 Hg
2.472 1.704 0.000 Hg
2.472 5.419 0.000 Hg
2.690 1.770 4.866 Hg
2.690 5.354 4.866 Hg
0.000 3.562 0.000 Ge
```

- VASP energy: -1.33 eV/atom
- Energy relative to the elements: -0.130 eV per atom
- SG: No. 10

(4)
Material: MgHg2Ge2
Method: DFT, GGA-PBE
State: optimized geometry

Cell and atoms, written as POSCAR:
```
MgHg2Ge2
1.0
7.148 0.000 0.000
0.000 7.148 0.000
0.000 0.000 4.450
Mg Hg Ge
2 4 4
Cartesian
0.000 0.000 0.000 Mg
3.574 3.574 0.000 Mg
1.331 2.243 2.225 Hg
2.243 5.817 2.225 Hg
4.905 1.331 2.225 Hg
5.817 4.905 2.225 Hg
0.900 4.474 0.000 Ge
2.674 0.900 0.000 Ge
4.474 6.248 0.000 Ge
6.248 2.674 0.000 Ge
```

- Relative energy among the computed polymorphs: 0.6 meV/atom
- VASP energy: -2.17 eV/atom
- Energy relative to the elements: 0.118 eV per atom
- SG: No. 127